(P)
BePbCl4: relaxed, PBE.

Summary:
The calculation puts the volume at 151.2 Å³/cell. As for the space-group type: F-43m, No. 216.

a = 5.9798 Å, b = 5.9798 Å, c = 5.9798 Å
α = 60.00°, β = 60.00°, γ = 60.00°
Last column: nearest neighbours and their distance in Å.
Element x y z (fractional)
Be: 0.0000 0.0000 0.0000  12 Cl 3.50, 4 Pb 3.66
Pb: 0.7500 0.7500 0.7500  12 Cl 3.51, 4 Be 3.66
Cl: 0.8772 0.3743 0.3743  6 Cl 2.97-3.01
Cl: 0.3743 0.3743 0.8772  6 Cl 2.97-3.01
Cl: 0.3743 0.8772 0.3743  6 Cl 2.97-3.01
Cl: 0.3743 0.3743 0.3743  6 Cl 2.97-3.01



(Q)
BePbCl4: relaxed, PBE.

Summary:
The calculation puts the volume at 622.3 Å³/cell. As for the space-group type: P2_1/c, No. 14.

a = 7.7637 Å, b = 9.4243 Å, c = 8.6966 Å
α = 90.00°, β = 90.00°, γ = 102.03°
Last column: nearest neighbours and their distance in Å.
Element x y z (fractional)
Be: 0.8889 0.2156 0.8269  4 Cl 2.02-2.09
Be: 0.6111 0.2844 0.3269  4 Cl 2.02-2.09
Be: 0.3889 0.7156 0.6731  4 Cl 2.02-2.09
Be: 0.1111 0.7844 0.1731  4 Cl 2.02-2.09
Pb: 0.3928 0.1758 0.8534  7 Cl 2.90-3.19
Pb: 0.1072 0.3242 0.3534  7 Cl 2.90-3.19
Pb: 0.8928 0.6758 0.6466  7 Cl 2.90-3.19
Pb: 0.6072 0.8242 0.1466  7 Cl 2.90-3.19
Cl: 0.6910 0.0368 0.8820  1 Be 2.09
Cl: 0.0103 0.1562 0.6399  1 Be 2.02
Cl: 0.7441 0.1238 0.2951  1 Be 2.02
Cl: 0.4273 0.2401 0.4939  1 Be 2.02
Cl: 0.7559 0.3762 0.7951  1 Be 2.02
Cl: 0.0727 0.2599 0.9939  1 Be 2.02
Cl: 0.4897 0.3438 0.1399  1 Be 2.02
Cl: 0.8090 0.4632 0.3820  1 Be 2.09
Cl: 0.1910 0.5368 0.6180  1 Be 2.09
Cl: 0.5103 0.6562 0.8601  1 Be 2.02
Cl: 0.9273 0.7401 0.0061  1 Be 2.02
Cl: 0.2441 0.6238 0.2049  1 Be 2.02
Cl: 0.5727 0.7599 0.5061  1 Be 2.02
Cl: 0.2559 0.8762 0.7049  1 Be 2.02
Cl: 0.9897 0.8438 0.3601  1 Be 2.02
Cl: 0.3090 0.9632 0.1180  1 Be 2.09



Which one sits at the top of the stability order? (Q) does.



(P)
BePd2Cl: relaxed, PBE.

Summary:
The calculation puts the volume at 147.8 Å³/cell. As for the space-group type: I-42d, No. 122.

a = 4.8620 Å, b = 4.8620 Å, c = 7.1357 Å
α = 70.08°, β = 70.08°, γ = 90.00°
Last column: nearest neighbours and their distance in Å.
Element x y z (fractional)
Be: 0.5000 0.5000 0.0000  4 Pd 2.18
Be: 0.2500 0.7500 0.5000  4 Pd 2.18
Pd: 0.5601 0.1250 0.2500  2 Be 2.18
Pd: 0.1899 0.6250 0.2500  2 Be 2.18
Pd: 0.3750 0.4399 0.7500  2 Be 2.18
Pd: 0.8750 0.8101 0.7500  2 Be 2.18
Cl: 0.0000 0.0000 0.0000  4 Pd 2.50
Cl: 0.7500 0.2500 0.5000  4 Pd 2.50



(Q)
BePd2Cl: relaxed, PBE.

Summary:
The calculation puts the volume at 57.5 Å³/cell. As for the space-group type: Fm-3m, No. 225.

a = 4.3329 Å, b = 4.3329 Å, c = 4.3329 Å
α = 60.00°, β = 60.00°, γ = 60.00°
Last column: nearest neighbours and their distance in Å.
Element x y z (fractional)
Be: 0.0000 0.0000 0.0000  8 Pd 2.65
Pd: 0.2500 0.2500 0.2500  4 Cl 2.65, 4 Be 2.65
Pd: 0.7500 0.7500 0.7500  4 Be 2.65, 4 Cl 2.65
Cl: 0.5000 0.5000 0.5000  8 Pd 2.65



Which one sits at the top of the stability order? (P) does.



(P)
BePdCl2: relaxed, PBE.

Summary:
The calculation puts the volume at 64.0 Å³/cell. As for the space-group type: Fm-3m, No. 225.

a = 4.4895 Å, b = 4.4895 Å, c = 4.4895 Å
α = 60.00°, β = 60.00°, γ = 60.00°
Last column: nearest neighbours and their distance in Å.
Element x y z (fractional)
Be: 0.0000 0.0000 0.0000  8 Cl 2.75
Pd: 0.5000 0.5000 0.5000  8 Cl 2.75
Cl: 0.2500 0.2500 0.2500  4 Pd 2.75, 4 Be 2.75
Cl: 0.7500 0.7500 0.7500  4 Be 2.75, 4 Pd 2.75



(Q)
BePdCl2: relaxed, PBE.

Summary:
The calculation puts the volume at 145.0 Å³/cell. As for the space-group type: I-42d, No. 122.

a = 5.5949 Å, b = 5.5949 Å, c = 6.0925 Å
α = 62.67°, β = 62.67°, γ = 90.00°
Last column: nearest neighbours and their distance in Å.
Element x y z (fractional)
Be: 0.5000 0.5000 0.0000  4 Cl 2.05
Be: 0.2500 0.7500 0.5000  4 Cl 2.05
Pd: 0.0000 0.0000 0.0000  4 Cl 2.59
Pd: 0.7500 0.2500 0.5000  4 Cl 2.59
Cl: 0.5445 0.1250 0.2500  2 Be 2.05
Cl: 0.2055 0.6250 0.2500  2 Be 2.05
Cl: 0.3750 0.4555 0.7500  2 Be 2.05
Cl: 0.8750 0.7945 0.7500  2 Be 2.05



Which one sits at the top of the stability order? (Q) does.



(P)
BePdSCl2: relaxed, PBE.

Summary:
The calculation puts the volume at 108.8 Å³/cell. As for the space-group type: P4/mmm, No. 123.

a = 4.7397 Å, b = 4.7397 Å, c = 4.8426 Å
α = 90.00°, β = 90.00°, γ = 90.00°
Last column: nearest neighbours and their distance in Å.
Element x y z (fractional)
Be: 0.5000 0.5000 0.5000  4 S 3.35, 8 Cl 3.39
S: 0.0000 0.0000 0.5000  2 Pd 2.42
Pd: 0.0000 0.0000 0.0000  4 Cl 2.37, 2 S 2.42
Cl: 0.0000 0.5000 0.0000  2 Pd 2.37
Cl: 0.5000 0.0000 0.0000  2 Pd 2.37



(Q)
BePdSCl2: relaxed, PBE.

Summary:
The calculation puts the volume at 88.0 Å³/cell. As for the space-group type: P4/mmm, No. 123.

a = 4.2431 Å, b = 4.2431 Å, c = 4.8891 Å
α = 90.00°, β = 90.00°, γ = 90.00°
Last column: nearest neighbours and their distance in Å.
Element x y z (fractional)
Be: 0.0000 0.0000 0.0000  4 Cl 2.12
S: 0.0000 0.0000 0.5000  2 Be 2.44
Pd: 0.5000 0.5000 0.5000  4 S 3.00, 8 Cl 3.24
Cl: 0.0000 0.5000 0.0000  2 Be 2.12
Cl: 0.5000 0.0000 0.0000  2 Be 2.12



Which one sits at the top of the stability order? (Q) does.



(P)
BePt2Cl: relaxed, PBE.

Summary:
The calculation puts the volume at 61.4 Å³/cell. As for the space-group type: F-43m, No. 216.

a = 4.4290 Å, b = 4.4290 Å, c = 4.4290 Å
α = 60.00°, β = 60.00°, γ = 60.00°
Last column: nearest neighbours and their distance in Å.
Element x y z (fractional)
Be: 0.5000 0.5000 0.5000  4 Pt 2.71, 4 Cl 2.71
Pt: 0.0000 0.0000 0.0000  4 Cl 2.71, 4 Pt 2.71
Pt: 0.2500 0.2500 0.2500  4 Be 2.71, 4 Pt 2.71
Cl: 0.7500 0.7500 0.7500  4 Be 2.71, 4 Pt 2.71



(Q)
BePt2Cl: relaxed, PBE.

Summary:
The calculation puts the volume at 66.8 Å³/cell. As for the space-group type: Cmm2, No. 35.

a = 2.8773 Å, b = 2.8773 Å, c = 9.3901 Å
α = 90.00°, β = 90.00°, γ = 120.71°
Last column: nearest neighbours and their distance in Å.
Element x y z (fractional)
Be: 0.0000 0.0000 0.5001  2 Cl 2.00
Pt: 0.0000 0.0000 0.0451  8 Pt 2.82-2.88
Pt: 0.5000 0.5000 0.3044  2 Be 2.32
Cl: 0.5000 0.5000 0.6504  2 Be 2.00



(R)
BePt2Cl: relaxed, PBE.

Summary:
The calculation puts the volume at 60.5 Å³/cell. As for the space-group type: Immm, No. 71.

a = 5.6027 Å, b = 5.6027 Å, c = 5.6027 Å
α = 150.61°, β = 135.13°, γ = 54.55°
Last column: nearest neighbours and their distance in Å.
Element x y z (fractional)
Be: 0.7500 0.2500 0.5000  4 Pt 2.36, 4 Cl 2.57
Pt: 0.9392 0.9392 0.0000  2 Be 2.36
Pt: 0.5608 0.5608 0.0000  2 Be 2.36
Cl: 0.2500 0.7500 0.5000  4 Be 2.57, 2 Cl 2.84, 4 Pt 2.85



(S)
BePt2Cl: relaxed, PBE.

Summary:
The calculation puts the volume at 63.9 Å³/cell. As for the space-group type: Pmm2, No. 25.

a = 2.9432 Å, b = 3.4876 Å, c = 6.2217 Å
α = 90.00°, β = 90.00°, γ = 90.00°
Last column: nearest neighbours and their distance in Å.
Element x y z (fractional)
Be: 0.0000 0.0000 0.3989  5 Pt 2.21-2.32
Pt: 0.0000 0.0000 0.0443  1 Be 2.21
Pt: 0.5000 0.5000 0.3282  4 Be 2.32, 1 Cl 2.49
Cl: 0.5000 0.5000 0.7286  1 Pt 2.49



Which one sits at the top of the stability order? (Q) does.



(P)
BePt2Cl: relaxed, PBE.

Summary:
The calculation puts the volume at 60.5 Å³/cell. As for the space-group type: P2/m, No. 10.

a = 2.8537 Å, b = 5.1193 Å, c = 6.5673 Å
α = 39.09°, β = 90.00°, γ = 90.00°
Last column: nearest neighbours and their distance in Å.
Element x y z (fractional)
Be: 0.5000 0.5000 0.5000  4 Pt 2.51
Pt: 0.0000 0.0000 0.0000  4 Be 2.51
Pt: 0.5000 0.5000 0.0000  4 Cl 2.51
Cl: 0.0000 0.0000 0.5000  4 Pt 2.51



(Q)
BePt2Cl: relaxed, PBE.

Summary:
The calculation puts the volume at 58.2 Å³/cell. As for the space-group type: P4/mmm, No. 123.

a = 3.4092 Å, b = 4.1330 Å, c = 4.1330 Å
α = 90.00°, β = 90.00°, γ = 90.00°
Last column: nearest neighbours and their distance in Å.
Element x y z (fractional)
Be: 0.5000 0.5000 0.0000  8 Pt 2.68, 4 Cl 2.92
Pt: 0.0000 0.0000 0.0000  4 Be 2.68, 4 Cl 2.68, 4 Pt 2.92
Pt: 0.0000 0.5000 0.5000  4 Be 2.68, 4 Cl 2.68, 4 Pt 2.92
Cl: 0.5000 0.0000 0.5000  8 Pt 2.68, 4 Be 2.92



Which one sits at the top of the stability order? (P) does.